No. 1
VASP calculation (PBE) on a geometry-optimized SrIn2Hg8 structure.

Cell and atoms, written as CIF:
```
data_SrIn2Hg8
_cell_length_a 8.661
_cell_length_b 8.661
_cell_length_c 4.504
_cell_angle_alpha 93.26
_cell_angle_beta 93.26
_cell_angle_gamma 110.19
_symmetry_space_group_name_H-M 'P 1'
_symmetry_Int_Tables_number 1
loop_
_symmetry_equiv_pos_as_xyz
'x,y,z'
loop_
_atom_site_label
_atom_site_fract_x
_atom_site_fract_y
_atom_site_fract_z
Sr1 0.000 0.000 0.000
In1 0.382 0.618 0.500
In2 0.618 0.382 0.500
Hg1 0.042 0.329 0.532
Hg2 0.240 0.760 0.000
Hg3 0.329 0.042 0.532
Hg4 0.332 0.332 0.000
Hg5 0.668 0.668 0.000
Hg6 0.671 0.958 0.468
Hg7 0.760 0.240 0.000
Hg8 0.958 0.671 0.468
```

---

No. 2
VASP calculation (PBE) on a geometry-optimized GdMnCo2 structure.

offset from the most stable computed form: 3.571 kcal/mol of atoms

Cell and atoms, written as CIF:
```
data_GdMnCo2
_cell_length_a 3.086
_cell_length_b 3.086
_cell_length_c 6.350
_cell_angle_alpha 90.00
_cell_angle_beta 90.00
_cell_angle_gamma 90.00
_symmetry_space_group_name_H-M 'P 1'
_symmetry_Int_Tables_number 1
loop_
_symmetry_equiv_pos_as_xyz
'x,y,z'
loop_
_atom_site_label
_atom_site_fract_x
_atom_site_fract_y
_atom_site_fract_z
Gd1 0.000 0.000 0.000
Mn1 0.000 0.000 0.500
Co1 0.500 0.500 0.300
Co2 0.500 0.500 0.700
```

---

Number 1: E_form -1.4 eV/f.u., ρ 10.12 Mg/m³, VASP energy -1.00 eV per atom. Number 2: E_form 0.5 eV/f.u., ρ 9.06 Mg/m³, VASP energy -9.25 eV per atom.